An optimized crystal structure of Na2ZnCr, computed with PBE-GGA.

D(E_F) = 1.730 states/eV/f.u.
calculated formation energy = 0.629 eV/atom
size of the total moment = 1.193 μB per atom
VASP energy = -2.76 eV/atom
volume = 393.7 Å³/cell

```
data_Na2ZnCr
_space_group_name_H-M_alt 'I -4 2 d'
_space_group_IT_number 122
_space_group_name_Hall 'I -4 2bw'
_cell_length_a 8.389
_cell_length_b 8.389
_cell_length_c 5.595
_cell_angle_alpha 90.00
_cell_angle_beta 90.00
_cell_angle_gamma 90.00
loop_
_atom_site_label
_atom_site_fract_x
_atom_site_fract_y
_atom_site_fract_z
Na1 0.226 0.250 0.125
Zn1 0.000 0.000 0.000
Cr1 0.000 0.000 0.500
```